Entry 1:
Material: InGeAu2
Method: DFT, PBE
State: optimized geometry

Structure (extended XYZ):
```
4
Lattice="3.024 0.000 0.000 0.000 5.154 0.000 0.000 0.000 5.154" Properties=species:S:1:pos:R:3 pbc="T T T"
Ge 1.512 0.000 0.000
Au 0.000 0.000 2.577
Au 0.000 2.577 0.000
In 1.512 2.577 2.577
```

Output
Its crystal system is tetragonal. The formation energy is 0.06 eV per formula unit.

Entry 2:
Material: Pr5Ag2Hg2
Method: DFT, PBE
State: optimized geometry

Structure (extended XYZ):
```
18
Lattice="-8.103 -0.177 -0.444 0.457 -3.681 -6.878 -0.285 -5.728 7.485" Properties=species:S:1:pos:R:3 pbc="T T T"
Pr 0.000 0.000 0.000
Pr -3.823 -1.929 -3.661
Pr -6.413 -4.806 -3.852
Pr -1.265 -3.398 -1.147
Pr -2.293 -5.266 -4.655
Pr -5.385 -2.938 -0.344
Pr -1.518 -4.779 4.015
Pr -6.665 -6.187 1.309
Pr -5.638 -4.319 4.818
Pr -2.546 -6.647 0.507
Ag -0.024 -3.184 1.702
Ag -3.847 -5.113 -1.959
Ag 0.196 -6.225 -1.095
Ag -4.084 -4.472 2.122
Hg -4.726 -3.332 -6.299
Hg -2.919 -0.525 -1.024
Hg -0.789 -2.324 -4.359
Hg -6.856 -1.533 -2.964
```

Output
Its crystal system is orthorhombic. The formation energy is -2.22 eV per formula unit.

Entry 3:
Material: Li2ZrPb3S6
Method: DFT, PBE
State: optimized geometry

Structure (extended XYZ):
```
12
Lattice="-0.291 6.728 1.584 -3.679 -4.593 3.636 6.338 -1.432 2.566" Properties=species:S:1:pos:R:3 pbc="T T T"
Li -2.603 -0.998 2.985
Li -1.367 3.133 2.236
Zr 0.000 0.000 0.000
Pb 0.056 -3.419 4.577
Pb 2.313 4.122 3.210
Pb 1.184 0.351 3.893
S 2.484 2.269 5.713
S -1.562 1.303 4.610
S -0.116 -1.566 2.073
S 1.430 -1.253 6.352
S 3.930 -0.600 3.177
S 0.938 1.956 1.435
```

Output
Its crystal system is monoclinic. The calculation puts the formation energy without anion corrections at -11.52 eV per formula unit.

Entry 4:
Material: CaCr4Cl
Method: DFT, PBE
State: optimized geometry

Structure (extended XYZ):
```
6
Lattice="0.000 3.632 3.632 3.632 0.000 3.632 3.632 3.632 0.000" Properties=species:S:1:pos:R:3 pbc="T T T"
Ca 5.448 5.448 5.448
Cr 2.652 4.612 4.612
Cr 4.612 4.612 2.652
Cr 4.612 2.652 4.612
Cr 2.652 2.652 2.652
Cl 0.000 0.000 0.000
```

Output
Its crystal system is cubic. The calculation puts the formation energy without anion corrections at 5.57 eV per formula unit.

Entry 5:
Material: BaAl2Au2
Method: DFT, PBE
State: optimized geometry

Structure (extended XYZ):
```
10
Lattice="8.311 0.000 0.000 0.000 8.311 0.000 0.000 0.000 3.154" Properties=species:S:1:pos:R:3 pbc="T T T"
Au 1.360 5.515 1.577
Au 5.515 6.952 1.577
Au 6.952 2.796 1.577
Au 2.796 1.360 1.577
Ba 0.000 0.000 0.000
Ba 4.156 4.156 0.000
Al 3.151 7.307 0.000
Al 7.307 5.160 0.000
Al 5.160 1.005 0.000
Al 1.005 3.151 0.000
```

Output
Its crystal system is tetragonal. The formation energy is -1.13 eV per formula unit.

Entry 6:
Material: LiNiRh2
Method: DFT, PBE
State: optimized geometry

Structure (extended XYZ):
```
4
Lattice="4.039 0.000 0.000 0.000 2.621 -0.016 0.000 1.335 4.774" Properties=species:S:1:pos:R:3 pbc="T T T"
Li 0.000 2.467 2.384
Ni 2.019 2.477 3.557
Rh 0.000 3.793 4.695
Rh 2.019 1.154 1.260
```

Output
Its crystal system is orthorhombic. The formation energy is -0.08 eV per formula unit. The energy above the most stable polymorph in this dataset comes out at 43 meV per atom.

Entry 7:
Material: Zr3CdN
Method: DFT, PBE
State: optimized geometry

Structure (extended XYZ):
```
10
Lattice="-3.236 7.242 -1.125 -1.391 6.616 4.298 2.387 7.647 0.070" Properties=species:S:1:pos:R:3 pbc="T T T"
N -0.368 3.528 0.532
N -1.873 17.978 2.711
Zr 0.288 9.911 -0.025
Zr -0.343 9.344 3.299
Zr 0.691 12.091 2.194
Zr -1.897 12.161 -0.056
Zr -2.529 11.594 3.268
Zr -2.932 9.414 1.049
Cd -0.752 7.215 1.088
Cd -1.489 14.290 2.155
```

Output
Its crystal system is trigonal. The calculation puts the formation energy without anion corrections at -2.80 eV per formula unit.

Entry 8:
Material: Ce5PmSn3
Method: DFT, PBE
State: optimized geometry

Structure (extended XYZ):
```
18
Lattice="6.655 0.000 0.000 0.000 8.239 -4.757 0.000 0.000 9.514" Properties=species:S:1:pos:R:3 pbc="T T T"
Ce 0.000 5.492 0.000
Ce 3.328 2.746 4.757
Ce 0.000 2.746 4.757
Ce 3.328 5.492 0.000
Ce 4.991 5.444 3.143
Ce 4.991 8.239 -1.529
Ce 4.991 2.795 -1.614
Ce 1.664 2.795 1.613
Ce 1.664 0.000 6.286
Ce 1.664 5.444 -3.143
Pm 0.000 0.000 0.000
Pm 3.328 0.000 0.000
Sn 4.991 2.708 1.564
Sn 4.991 0.000 6.386
Sn 4.991 5.530 -3.193
Sn 1.664 5.530 3.193
Sn 1.664 8.239 -1.629
Sn 1.664 2.708 -1.564
```

Output
Its crystal system is hexagonal. The formation energy is -4.36 eV per formula unit.

Entry 9:
Material: In2TcO6
Method: DFT, PBE
State: optimized geometry

Structure (extended XYZ):
```
18
Lattice="4.836 0.000 0.000 0.000 4.836 0.000 0.000 0.000 9.797" Properties=species:S:1:pos:R:3 pbc="T T T"
In 2.418 2.418 3.270
In 2.418 2.418 6.527
In 0.000 0.000 1.628
In 0.000 0.000 8.169
Tc 2.418 2.418 0.000
Tc 0.000 0.000 4.898
O 3.322 3.322 1.480
O 3.322 3.322 8.317
O 3.487 3.487 4.898
O 3.766 1.069 0.000
O 3.931 0.904 3.419
O 3.931 0.904 6.378
O 0.904 3.931 3.419
O 0.904 3.931 6.378
O 1.069 3.766 0.000
O 1.349 1.349 4.898
O 1.513 1.513 1.480
O 1.513 1.513 8.317
```

Output
Its crystal system is tetragonal. The calculation puts the formation energy without anion corrections at -12.36 eV per formula unit.

Entry 10:
Material: Pm12PuSi6
Method: DFT, PBE
State: optimized geometry

Structure (extended XYZ):
```
19
Lattice="-0.334 -8.492 2.387 3.115 0.621 -8.236 5.325 4.395 5.499" Properties=species:S:1:pos:R:3 pbc="T T T"
Pm 4.520 1.145 4.321
Pm 2.424 -1.331 -2.225
Pm 5.683 -2.145 1.876
Pm 3.587 -4.621 -4.670
Pm 4.036 0.934 -4.822
Pm 1.985 -2.698 1.176
Pm 6.122 -0.778 -1.526
Pm 4.071 -4.410 4.473
Pm 1.168 -6.248 0.082
Pm 3.411 0.676 0.712
Pm 4.696 -4.152 -1.062
Pm 6.939 2.773 -0.432
Pu 0.000 0.000 0.000
Si 6.143 0.930 1.669
Si 1.964 -4.406 -2.019
Si 4.642 -2.003 -3.978
Si 3.465 -1.472 3.629
Si 3.567 -5.080 1.691
Si 4.540 1.604 -2.040
```

Output
Its crystal system is cubic. The calculation puts the formation energy without anion corrections at -7.94 eV per formula unit.

no.,energy (eV/atom)
1,-3.464
2,-3.603
3,-4.982
4,-6.129
5,-3.419
6,-5.619
7,-7.536
8,-5.643
9,-6.439
10,-5.885